5
Lattice="-0.6510 3.4924 3.3876 -4.6493 -0.9219 0.0570 0.7009 -3.3148 3.5521" Properties=species:S:1:pos:R:3 comment="PBE NaTaCu2W, relaxed" e_tot_ev_per_atom=-5.547 dos_at_fermi_per_ev_cell=3.72 formation_energy_ev_per_atom=1.316 pbc="T T T"
Na -2.2997 -0.3722 3.4983
Cu 0.3504 -1.6574 1.7760
Cu -0.3255 1.7462 1.6938
Ta -2.3246 -0.4610 0.0285
W 0.0000 0.0000 0.0000